# Ca2Hg2Au

A relaxed structure of Ca2Hg2Au (PBE, Alexandria).

Cell and atoms, written as POSCAR:
```
Ca2Hg2Au
1.0
4.536 0.000 0.000
0.000 15.480 0.000
0.000 0.000 3.636
Ca Hg Au
4 4 2
Direct
0.000 0.110 0.000 Ca
0.000 0.890 0.000 Ca
0.500 0.390 0.000 Ca
0.500 0.610 0.000 Ca
0.000 0.308 0.500 Hg
0.000 0.692 0.500 Hg
0.500 0.192 0.500 Hg
0.500 0.808 0.500 Hg
0.000 0.500 0.500 Au
0.500 0.000 0.500 Au
```

- volume (Å³/f.u.) = 127.65
- density of states at the Fermi level (states/eV/f.u.) = 3.0
- energy relative to the elements (eV/atom) = -0.51
- space group = No. 65
- total magnetic moment (μB per formula unit) = 0.0

=====

# BaSmHfN3

A relaxed structure of BaSmHfN3 (PBE, Alexandria).

Cell and atoms, written as POSCAR:
```
BaSmHfN3
1.0
6.262 0.000 0.000
0.000 3.759 0.000
-1.991 0.000 8.657
Ba Sm Hf N
2 2 2 6
Direct
0.141 0.250 0.187 Ba
0.859 0.750 0.813 Ba
0.257 0.750 0.540 Sm
0.743 0.250 0.460 Sm
0.378 0.250 0.851 Hf
0.622 0.750 0.149 Hf
0.082 0.250 0.660 N
0.318 0.750 0.947 N
0.456 0.750 0.329 N
0.544 0.250 0.671 N
0.682 0.250 0.053 N
0.918 0.750 0.340 N
```

- volume (Å³/f.u.) = 101.89
- space group = No. 11
- total magnetic moment (μB per formula unit) = 0.0
- E_tot (eV per atom) = -8.228

=====

# Ba2CdSn

A relaxed structure of Ba2CdSn (PBE, Alexandria).

Cell and atoms, written as POSCAR:
```
Ba2CdSn
1.0
6.107 0.000 0.000
0.000 6.107 0.000
0.000 0.000 21.309
Ba Cd Sn
8 4 4
Direct
0.246 0.250 0.125 Ba
0.250 0.746 0.375 Ba
0.250 0.754 0.875 Ba
0.254 0.250 0.625 Ba
0.746 0.750 0.625 Ba
0.750 0.246 0.875 Ba
0.750 0.254 0.375 Ba
0.754 0.750 0.125 Ba
0.000 0.000 0.500 Cd
0.000 0.500 0.750 Cd
0.500 0.000 0.250 Cd
0.500 0.500 0.000 Cd
0.000 0.000 0.000 Sn
0.000 0.500 0.250 Sn
0.500 0.000 0.750 Sn
0.500 0.500 0.500 Sn
```

- volume (Å³/f.u.) = 198.71
- density of states at the Fermi level (states/eV/f.u.) = 4.5
- energy relative to the elements (eV/atom) = 0.01
- space group = No. 122
- total magnetic moment (μB per formula unit) = 0.0

=====

# Na2Hg3Cl8

A relaxed structure of Na2Hg3Cl8 (PBE, Alexandria).

Cell and atoms, written as POSCAR:
```
Na2Hg3Cl8
1.0
7.002 -3.924 0.000
7.002 3.924 0.000
-1.997 0.000 6.648
Na Hg Cl
2 3 8
Direct
0.231 0.231 0.146 Na
0.769 0.769 0.854 Na
0.243 0.757 0.500 Hg
0.500 0.500 0.000 Hg
0.757 0.243 0.500 Hg
0.115 0.115 0.425 Cl
0.152 0.615 0.098 Cl
0.385 0.848 0.902 Cl
0.387 0.387 0.582 Cl
0.613 0.613 0.418 Cl
0.615 0.152 0.098 Cl
0.848 0.385 0.902 Cl
0.885 0.885 0.575 Cl
```

- volume (Å³/f.u.) = 365.31
- density of states at the Fermi level (states/eV/f.u.) = 0.0
- space group = No. 12
- total magnetic moment (μB per formula unit) = 0.0
- E_tot (eV per atom) = -2.344

=====

# Pr3AlCoS7

A relaxed structure of Pr3AlCoS7 (PBE, Alexandria).

Cell and atoms, written as POSCAR:
```
Pr3AlCoS7
1.0
9.901 0.000 0.000
-4.951 8.575 0.000
0.000 0.000 6.238
Pr Al Co S
6 2 2 14
Direct
0.155 0.781 0.000 Pr
0.219 0.374 0.000 Pr
0.374 0.155 0.500 Pr
0.626 0.845 0.000 Pr
0.781 0.626 0.500 Pr
0.845 0.219 0.500 Pr
0.333 0.667 0.577 Al
0.667 0.333 0.077 Al
0.000 0.000 0.163 Co
0.000 0.000 0.663 Co
0.091 0.876 0.409 S
0.093 0.523 0.719 S
0.124 0.215 0.409 S
0.215 0.091 0.909 S
0.333 0.667 0.219 S
0.430 0.907 0.719 S
0.477 0.570 0.719 S
0.523 0.430 0.219 S
0.570 0.093 0.219 S
0.667 0.333 0.719 S
0.785 0.909 0.409 S
0.876 0.785 0.909 S
0.907 0.477 0.219 S
0.909 0.124 0.909 S
```

- volume (Å³/f.u.) = 264.80
- density of states at the Fermi level (states/eV/f.u.) = 2.3
- space group = No. 173
- total magnetic moment (μB per formula unit) = 1.0
- E_tot (eV per atom) = -6.060

=====

# Tb3Zn9Ag2

A relaxed structure of Tb3Zn9Ag2 (PBE, Alexandria).

Cell and atoms, written as POSCAR:
```
Tb3Zn9Ag2
1.0
-2.211 4.416 6.643
2.211 -4.416 6.643
2.211 4.416 -6.643
Tb Zn Ag
3 9 2
Direct
0.000 0.000 0.000 Tb
0.295 0.295 0.000 Tb
0.705 0.705 0.000 Tb
0.024 0.664 0.360 Zn
0.144 0.862 0.282 Zn
0.304 0.664 0.640 Zn
0.419 0.138 0.282 Zn
0.500 0.000 0.500 Zn
0.581 0.862 0.718 Zn
0.696 0.336 0.360 Zn
0.856 0.138 0.718 Zn
0.976 0.336 0.640 Zn
0.313 0.500 0.813 Ag
0.687 0.500 0.187 Ag
```

- volume (Å³/f.u.) = 259.50
- density of states at the Fermi level (states/eV/f.u.) = 8.1
- energy relative to the elements (eV/atom) = -0.32
- space group = No. 71
- total magnetic moment (μB per formula unit) = 0.0

=====

# Zr2CdW

A relaxed structure of Zr2CdW (PBE, Alexandria).

Cell and atoms, written as POSCAR:
```
Zr2CdW
1.0
4.234 0.000 0.000
0.000 4.234 0.000
0.000 0.000 9.030
Zr Cd W
4 2 2
Direct
0.000 0.000 0.000 Zr
0.000 0.500 0.250 Zr
0.500 0.000 0.750 Zr
0.500 0.500 0.500 Zr
0.000 0.500 0.750 Cd
0.500 0.000 0.250 Cd
0.000 0.000 0.500 W
0.500 0.500 0.000 W
```

- volume (Å³/f.u.) = 80.93
- density of states at the Fermi level (states/eV/f.u.) = 4.4
- energy relative to the elements (eV/atom) = 0.23
- space group = No. 119
- total magnetic moment (μB per formula unit) = 0.0

=====

# Na2MnAgIr

A relaxed structure of Na2MnAgIr (PBE, Alexandria).

Cell and atoms, written as POSCAR:
```
Na2MnAgIr
1.0
5.291 0.000 0.000
0.000 5.291 0.000
0.000 0.000 5.117
Na Mn Ag Ir
2 1 1 1
Direct
0.000 0.500 0.000 Na
0.500 0.000 0.000 Na
0.000 0.000 0.500 Mn
0.500 0.500 0.500 Ag
0.500 0.500 0.000 Ir
```

- volume (Å³/f.u.) = 143.26
- density of states at the Fermi level (states/eV/f.u.) = 4.7
- energy relative to the elements (eV/atom) = 1.17
- space group = No. 123
- total magnetic moment (μB per formula unit) = 5.6